(1)
An optimized crystal structure of PrNiRu, computed with PBE.

Results
SG   Imma (74)
Total DFT energy (no corrections)   -6.831 eV per atom
M_tot   0.000 Bohr magnetons per cell
Formation enthalpy at 0 K   -219 meV/atom
Mass density   9.3 Mg/m³

Lattice parameters (Å, degrees): 5.3463 5.3727 5.3727 57.44 60.16 60.16
Atoms (fractional coordinates):
Pr 0.8713 0.3787 0.3787
Ru 0.5000 0.0000 0.5000
Ru 0.5000 0.5000 0.0000
Ni 0.0000 0.0000 0.0000
Pr 0.1287 0.6213 0.6213
Ni 0.5000 0.0000 0.0000


(2)
An optimized crystal structure of Pr2Ni2Ru, computed with PBE.

Results
SG   C2/c (15)
Total DFT energy (no corrections)   -6.295 eV per atom
M_tot   0.000 Bohr magnetons per cell
Formation enthalpy at 0 K   -215 meV/atom
Mass density   8.3 Mg/m³

Lattice parameters (Å, degrees): 5.2647 5.2647 8.2384 79.46 79.46 63.61
Atoms (fractional coordinates):
Pr 0.5383 0.7696 0.8442
Ni 0.0010 0.2377 0.0012
Ru 0.8696 0.1304 0.7500
Pr 0.4617 0.2304 0.1558
Ni 0.9990 0.7623 0.9988
Ni 0.2377 0.0010 0.5012
Pr 0.7696 0.5383 0.3442
Pr 0.2304 0.4617 0.6558
Ni 0.7623 0.9990 0.4988
Ru 0.1304 0.8696 0.2500


(3)
An optimized crystal structure of Pr3Ni2Ru, computed with PBE.

Results
SG   Pnma (62)
Total DFT energy (no corrections)   -6.060 eV per atom
M_tot   0.000 Bohr magnetons per cell
Formation enthalpy at 0 K   -197 meV/atom
Mass density   7.6 Mg/m³

Lattice parameters (Å, degrees): 4.1970 11.7456 11.4395 90.00 90.00 90.00
Atoms (fractional coordinates):
Ru 0.2500 0.1352 0.1344
Ni 0.2500 0.0076 0.3098
Ni 0.2500 0.6891 0.4717
Ru 0.7500 0.6352 0.3656
Pr 0.7500 0.9449 0.1213
Pr 0.2500 0.7915 0.7070
Pr 0.7500 0.6218 0.9460
Ni 0.7500 0.9924 0.6902
Ru 0.2500 0.3648 0.6344
Pr 0.2500 0.3782 0.0540
Ni 0.2500 0.4924 0.8098
Pr 0.7500 0.8782 0.4460
Pr 0.7500 0.5551 0.6213
Ru 0.7500 0.8648 0.8656
Pr 0.2500 0.1218 0.5540
Ni 0.2500 0.8109 0.9717
Ni 0.7500 0.1891 0.0283
Pr 0.7500 0.2085 0.2930
Ni 0.7500 0.5076 0.1902
Pr 0.2500 0.0551 0.8787
Pr 0.7500 0.2915 0.7930
Ni 0.7500 0.3109 0.5283
Pr 0.2500 0.7085 0.2070
Pr 0.2500 0.4449 0.3787


(4)
An optimized crystal structure of Pr3Ni7Ru2, computed with PBE.

Results
SG   R-3m (166)
Total DFT energy (no corrections)   -6.318 eV per atom
M_tot   0.000 Bohr magnetons per cell
Formation enthalpy at 0 K   -204 meV/atom
Mass density   9.0 Mg/m³

Lattice parameters (Å, degrees): 5.0972 5.0972 8.9966 73.54 73.54 60.00
Atoms (fractional coordinates):
Pr 0.8619 0.8619 0.4143
Ni 0.0835 0.5815 0.7536
Ni 0.5000 0.5000 0.5000
Ru 0.3322 0.3322 0.0034
Pr 0.1381 0.1381 0.5857
Ni 0.4185 0.9165 0.2464
Pr 0.0000 0.0000 0.0000
Ni 0.9165 0.4185 0.2464
Ni 0.5815 0.0835 0.7536
Ru 0.6678 0.6678 0.9966
Ni 0.5815 0.5815 0.7536
Ni 0.4185 0.4185 0.2464


(5)
An optimized crystal structure of Pr2Ni15Ru2, computed with PBE.

Results
SG   R-3m (166)
Total DFT energy (no corrections)   -6.162 eV per atom
M_tot   7.408 Bohr magnetons per cell
Formation enthalpy at 0 K   -119 meV/atom
Mass density   9.0 Mg/m³

Lattice parameters (Å, degrees): 6.3749 6.3749 6.3749 82.55 82.55 82.55
Each line ends with the local moment (μB).
Atoms (fractional coordinates):
Pr 0.6558 0.6558 0.6558  -0.06
Ni 0.1542 0.6582 0.6582  0.47
Ni 0.2946 0.0000 0.7054  0.46
Ni 0.8458 0.3418 0.3418  0.47
Ni 0.0000 0.2946 0.7054  0.46
Ru 0.0962 0.0962 0.0962  0.59
Ni 0.6582 0.6582 0.1542  0.47
Ru 0.9038 0.9038 0.9038  0.59
Ni 0.0000 0.5000 0.0000  0.43
Ni 0.2946 0.7054 0.0000  0.46
Ni 0.7054 0.0000 0.2946  0.46
Ni 0.6582 0.1542 0.6582  0.47
Ni 0.3418 0.8458 0.3418  0.47
Ni 0.0000 0.0000 0.5000  0.43
Ni 0.0000 0.7054 0.2946  0.46
Ni 0.5000 0.0000 0.0000  0.43
Ni 0.3418 0.3418 0.8458  0.47
Ni 0.7054 0.2946 0.0000  0.46
Pr 0.3442 0.3442 0.3442  -0.06


(6)
An optimized crystal structure of Pr6NiRu, computed with PBE.

Results
SG   R-3m (166)
Total DFT energy (no corrections)   -5.240 eV per atom
M_tot   0.000 Bohr magnetons per cell
Formation enthalpy at 0 K   226 meV/atom
Mass density   5.2 Mg/m³

Lattice parameters (Å, degrees): 6.5169 7.8415 7.8415 67.36 73.92 106.08
Atoms (fractional coordinates):
Ni 0.0000 0.0000 0.0000
Pr 0.1575 0.7041 0.0000
Pr 0.8425 0.2959 0.0000
Pr 0.8425 0.0000 0.7041
Pr 0.1575 0.0000 0.2959
Pr 0.5466 0.7041 0.2959
Pr 0.4534 0.2959 0.7041
Ru 0.5000 0.0000 0.0000


(7)
An optimized crystal structure of Pr3Ni3Ru, computed with PBE.

Results
SG   C2/m (12)
Total DFT energy (no corrections)   -6.076 eV per atom
M_tot   0.000 Bohr magnetons per cell
Formation enthalpy at 0 K   -225 meV/atom
Mass density   7.6 Mg/m³

Lattice parameters (Å, degrees): 4.1001 5.7347 14.0393 90.75 81.60 69.05
Atoms (fractional coordinates):
Ni 0.1092 0.8545 0.9271
Pr 0.5957 0.7329 0.0758
Ru 0.7296 0.1737 0.3672
Ni 0.8896 0.6582 0.5626
Pr 0.7765 0.6721 0.7749
Pr 0.5864 0.2316 0.5957
Ni 0.8908 0.1455 0.0729
Ni 0.1104 0.3418 0.4374
Pr 0.4136 0.7684 0.4043
Pr 0.2235 0.3279 0.2251
Pr 0.4043 0.2671 0.9242
Ni 0.9390 0.9018 0.2201
Ni 0.0610 0.0982 0.7799
Ru 0.2704 0.8263 0.6328


(8)
An optimized crystal structure of PrNiRu, computed with PBE.

Results
SG   C2/m (12)
Total DFT energy (no corrections)   -6.580 eV per atom
M_tot   0.000 Bohr magnetons per cell
Formation enthalpy at 0 K   32 meV/atom
Mass density   8.1 Mg/m³

Lattice parameters (Å, degrees): 6.5573 6.5573 6.5494 60.48 139.94 136.69
Atoms (fractional coordinates):
Pr 0.7505 0.3828 0.1333
Ni 0.7512 0.9477 0.6990
Ru 0.0000 0.0000 0.5000
Ni 0.2488 0.0523 0.3010
Pr 0.2495 0.6172 0.8667
Ru 0.5000 0.5000 0.5000